## Ta2TcW (PBE-GGA)

Data for Ta2TcW after structural relaxation.

Cell lengths 4.5520, 4.5520, 3.2118 Å; angles 90.00, 90.00, 90.00 degrees
Closest atoms and distances in Å follow each position.
Space group P4/mmm (No. 123)
Asymmetric unit:
Ta (0.0000, 0.5000, 0.0000) (multiplicity 2)  4 W 2.79, 4 Tc 2.79
Tc (0.0000, 0.0000, 0.5000) (multiplicity 1)  8 Ta 2.79
W (0.5000, 0.5000, 0.5000) (multiplicity 1)  8 Ta 2.79

Computed properties:
The value obtained for the formation enthalpy at 0 K is -298 meV/atom. The energy above the lowest structure with this stoichiometry comes out at 5 meV/atom.

## Al2IrAu (PBE-GGA)

Data for Al2IrAu after structural relaxation.

Cell lengths 4.0092, 4.0092, 7.4885 Å; angles 90.00, 90.00, 90.00 degrees
Closest atoms and distances in Å follow each position.
Space group I4/mmm (No. 139)
Asymmetric unit:
Al (0.0000, 0.5000, 0.2500) (multiplicity 4)  4 Ir 2.74, 4 Au 2.74, 4 Al 2.83
Ir (0.0000, 0.0000, 0.0000) (multiplicity 2)  8 Al 2.74, 4 Au 2.83
Au (0.0000, 0.0000, 0.5000) (multiplicity 2)  8 Al 2.74, 4 Ir 2.83

Computed properties:
The value obtained for the formation enthalpy at 0 K is -495 meV/atom.